Entry 1:
CeTmI GGA-PBE optimized geometry; size of the total moment = 1.8 μB per formula unit; final energy = -12.4 eV/f.u.; E above lowest polymorph = 0 meV/atom; space-group type = No. 187
1.0
3.699 0.000 0.000
0.000 5.353 0.000
0.000 -2.676 4.636
I Tm Ce
1 1 1
Direct
0.500 0.333 0.667
0.500 0.667 0.333
0.000 0.000 0.000

Entry 2:
CeTmI GGA-PBE optimized geometry; size of the total moment = 1.2 μB per formula unit; final energy = -12.1 eV/f.u.; E above lowest polymorph = 81 meV/atom; space-group type = No. 12
1.0
-1.157 3.016 1.545
-0.149 -8.771 12.860
3.324 -1.260 4.951
Tm Ce I
2 2 2
Direct
0.172 0.344 0.814
0.828 0.656 0.186
0.000 0.000 0.775
0.000 0.000 0.225
0.154 0.308 0.384
0.846 0.692 0.616

Entry 3:
CeUI6 GGA-PBE optimized geometry; size of the total moment = 4.0 μB per formula unit; final energy = -34.9 eV/f.u.; space-group type = No. 12
1.0
-5.313 0.380 -5.627
2.326 -7.735 -1.103
-4.693 2.418 6.212
Ce U I
1 1 6
Direct
0.000 0.000 0.000
0.500 0.500 0.500
0.747 0.594 0.896
0.747 0.896 0.594
0.253 0.104 0.406
0.253 0.406 0.104
0.746 0.251 0.251
0.254 0.749 0.749

Entry 4:
Ce2VI GGA-PBE optimized geometry; size of the total moment = 4.7 μB per formula unit; final energy = -22.5 eV/f.u.; space-group type = No. 166
1.0
3.978 0.000 0.000
1.989 3.445 0.000
1.989 1.148 8.484
I Ce V
1 2 1
Direct
0.500 0.500 0.500
0.737 0.737 0.788
0.263 0.263 0.212
0.000 0.000 0.000

Entry 5:
CeYI GGA-PBE optimized geometry; size of the total moment = 2.0 μB per formula unit; final energy = -14.4 eV/f.u.; E above lowest polymorph = 209 meV/atom; space-group type = No. 156
1.0
3.746 0.000 0.000
0.000 5.392 0.000
0.000 -2.696 4.670
I Y Ce
1 1 1
Direct
0.501 0.333 0.667
0.500 0.667 0.333
0.999 0.000 0.000

Entry 6:
CeYI5 GGA-PBE optimized geometry; size of the total moment = 1.9 μB per formula unit; final energy = -29.4 eV/f.u.; space-group type = No. 11
1.0
4.229 0.000 0.000
0.000 9.471 -0.720
0.000 -0.458 15.058
Ce Y I
2 2 10
Direct
0.250 0.417 0.343
0.750 0.583 0.657
0.750 0.106 0.148
0.250 0.894 0.852
0.250 0.069 0.299
0.750 0.124 0.930
0.750 0.316 0.485
0.250 0.339 0.123
0.250 0.365 0.718
0.750 0.635 0.282
0.750 0.661 0.877
0.250 0.684 0.515
0.250 0.876 0.070
0.750 0.931 0.701

Entry 7:
CeY2I8 GGA-PBE optimized geometry; size of the total moment = 2.0 μB per formula unit; final energy = -44.6 eV/f.u.; space-group type = No. 12
1.0
7.384 0.147 0.112
0.244 9.501 0.246
0.244 2.795 9.083
Ce Y I
1 2 8
Direct
0.000 0.000 0.000
0.645 0.815 0.815
0.355 0.185 0.185
0.242 0.289 0.875
0.758 0.125 0.711
0.244 0.818 0.818
0.756 0.182 0.182
0.242 0.875 0.289
0.758 0.711 0.125
0.768 0.639 0.639
0.232 0.361 0.361

Entry 8:
CeYI GGA-PBE optimized geometry; size of the total moment = 0.0 μB per formula unit; final energy = -15.1 eV/f.u.; E above lowest polymorph = 0 meV/atom; space-group type = No. 12
1.0
-2.017 3.350 -0.828
-1.474 -2.173 -3.014
-11.214 -3.270 5.479
I Y Ce
2 2 2
Direct
0.823 0.823 0.352
0.177 0.177 0.648
0.610 0.610 0.780
0.390 0.390 0.220
0.773 0.227 0.000
0.227 0.773 0.000

Entry 9:
Ce2YI6 GGA-PBE optimized geometry; size of the total moment = 4.1 μB per formula unit; final energy = -38.8 eV/f.u.; space-group type = No. 12
1.0
-2.492 3.160 -1.229
-5.379 -7.221 -0.459
0.905 4.802 10.516
Ce Y I
2 1 6
Direct
0.678 0.356 0.851
0.322 0.644 0.149
0.000 0.000 0.500
0.322 0.645 0.873
0.678 0.355 0.127
0.977 0.954 0.221
0.640 0.279 0.548
0.023 0.046 0.779
0.360 0.721 0.452

Entry 10:
CeZn2I6 GGA-PBE optimized geometry; size of the total moment = 1.9 μB per formula unit; final energy = -24.8 eV/f.u.; space-group type = No. 146
1.0
7.852 0.000 0.000
3.926 6.800 0.000
3.926 2.267 7.910
Ce Zn I
1 2 6
Direct
0.333 0.333 0.000
0.719 0.719 0.842
0.613 0.613 0.160
0.722 0.437 0.751
0.090 0.722 0.751
0.437 0.090 0.751
0.271 0.555 0.250
0.925 0.271 0.250
0.555 0.925 0.250

Entry 11:
CeZnI6 GGA-PBE optimized geometry; size of the total moment = 0.0 μB per formula unit; final energy = -23.1 eV/f.u.; space-group type = No. 12
1.0
8.126 -0.838 -2.261
-4.346 5.699 -1.817
0.061 0.899 7.815
Ce Zn I
1 1 6
Direct
0.500 0.000 0.000
0.000 0.000 0.000
0.919 0.150 0.295
0.624 0.855 0.705
0.376 0.145 0.295
0.081 0.850 0.705
0.255 0.508 0.000
0.745 0.492 0.000

Entry 12:
CeZn2I8 GGA-PBE optimized geometry; size of the total moment = 0.1 μB per formula unit; final energy = -29.5 eV/f.u.; space-group type = No. 12
1.0
7.047 0.198 0.165
0.355 8.669 0.140
0.355 1.723 8.498
Ce Zn I
1 2 8
Direct
0.000 0.000 0.000
0.338 0.203 0.203
0.662 0.797 0.797
0.765 0.099 0.710
0.235 0.290 0.901
0.726 0.189 0.189
0.274 0.811 0.811
0.765 0.710 0.099
0.235 0.901 0.290
0.231 0.385 0.385
0.769 0.615 0.615